A relaxed structure of Y2IrW, computed with GGA-PBE.

Lattice parameters (Å, degrees): 4.9256 4.9256 4.9256 60.00 60.00 60.00
Sites, in units of the cell vectors:
Y (0.2500, 0.2500, 0.2500)
Y (0.7500, 0.7500, 0.7500)
Ir (0.0000, 0.0000, 0.0000)
W (0.5000, 0.5000, 0.5000)

- crystal system = cubic
- E above lowest polymorph (eV per atom) = 0.297
- ΔH_f (0 K) (eV per atom) = 0.19
- DOS(E_F) (states/eV/atom) = 1.466

***

A relaxed structure of YIrW3, computed with GGA-PBE.

Lattice parameters (Å, degrees): 4.8244 4.8244 4.8244 90.00 90.00 90.00
Sites, in units of the cell vectors:
Y (0.0000, 0.0000, 0.0000)
Ir (0.5000, 0.5000, 0.5000)
W (0.0000, 0.5000, 0.5000)
W (0.5000, 0.0000, 0.5000)
W (0.5000, 0.5000, 0.0000)

- crystal system = cubic
- E above lowest polymorph (eV per atom) = 0.000
- ΔH_f (0 K) (eV per atom) = 1.38
- DOS(E_F) (states/eV/atom) = 1.521

***

A relaxed structure of YIr2W, computed with GGA-PBE.

Lattice parameters (Å, degrees): 9.7562 9.7562 9.7562 17.06 17.06 17.06
Sites, in units of the cell vectors:
Y (0.0000, 0.0000, 0.0000)
Ir (0.4979, 0.4979, 0.4979)
Ir (0.7510, 0.7510, 0.7510)
W (0.2367, 0.2367, 0.2367)

- crystal system = trigonal
- E above lowest polymorph (eV per atom) = 0.681
- ΔH_f (0 K) (eV per atom) = 0.33
- DOS(E_F) (states/eV/atom) = 1.546

***

no.,size of the total moment (Bohr magnetons per cell)
1,2.12
2,0.00
3,0.45